Entry from Alexandria via LeMat-Bulk: crystalline TbAgSb at its relaxed geometry (GGA-PBE).

a = 4.117 Å, b = 4.117 Å, c = 5.370 Å
α = 112.54°, β = 112.54°, γ = 90.00°
Fractional positions:
Sb1 0.940 0.940 0.880
Ag1 0.621 0.621 0.241
Tb1 0.290 0.290 0.579

Values from the calculation:
- Crystal system: tetragonal
- E_form (uncorrected): -1.23 eV/f.u.

=====

Entry from Alexandria via LeMat-Bulk: crystalline CeHoNi2H8 at its relaxed geometry (GGA-PBE).

a = 4.361 Å, b = 4.361 Å, c = 6.908 Å
α = 71.60°, β = 71.60°, γ = 60.00°
Fractional positions:
H1 0.535 0.536 0.830
Ni1 0.243 0.243 0.270
H2 0.464 0.901 0.170
H3 0.465 0.464 0.170
Ho1 0.000 0.000 0.000
H4 0.099 0.535 0.830
H5 0.160 0.160 0.520
H6 0.901 0.465 0.170
Ni2 0.757 0.757 0.730
H7 0.840 0.840 0.480
Ce1 0.500 0.500 0.500
H8 0.536 0.099 0.830

Values from the calculation:
- Energy: -4.414 eV/atom
- Crystal system: trigonal

=====

Entry from Alexandria via LeMat-Bulk: crystalline ErFeCo at its relaxed geometry (GGA-PBE).

a = 4.017 Å, b = 3.846 Å, c = 3.846 Å
α = 120.00°, β = 90.00°, γ = 90.00°
Last column: magnetic moment on the atom in μB.
Fractional positions:
Er1 0.667 0.667 0.333  -0.30
Fe1 0.167 0.000 0.000  1.84
Co1 0.167 0.333 0.667  0.80

Values from the calculation:
- Crystal system: hexagonal
- Formation energy: -128 meV/atom

=====

Entry from Alexandria via LeMat-Bulk: crystalline TaTl2Pb at its relaxed geometry (GGA-PBE).

a = 7.819 Å, b = 7.819 Å, c = 7.819 Å
α = 157.29°, β = 142.21°, γ = 44.54°
Fractional positions:
Ta1 0.251 0.751 0.500
Tl1 0.748 0.248 0.500
Tl2 0.067 0.067 0.000
Pb1 0.434 0.434 0.000

Values from the calculation:
- Crystal system: orthorhombic
- Formation energy: 471 meV/atom